[1]
! LaGdPuCd PBE optimized geometry; values from VASP
! ΔH_f (0 K): 0.05 eV/atom
&SYSTEM
  ibrav = 0, nat = 4, ntyp = 4
/
ATOMIC_SPECIES
La 138.91 La.upf
Gd 157.25 Gd.upf
Pu 244.00 Pu.upf
Cd 112.41 Cd.upf
CELL_PARAMETERS angstrom
0.000 3.892 3.892
3.892 0.000 3.892
3.892 3.892 0.000
ATOMIC_POSITIONS angstrom
La 0.000 0.000 0.000
Gd 3.892 3.892 3.892
Pu 5.839 5.839 5.839
Cd 1.946 1.946 1.946



[2]
! LaGdCdSi PBE optimized geometry; values from VASP
! Energy relative to the elements, uncorrected: -0.408 eV/atom
&SYSTEM
  ibrav = 0, nat = 4, ntyp = 4
/
ATOMIC_SPECIES
La 138.91 La.upf
Gd 157.25 Gd.upf
Cd 112.41 Cd.upf
Si 28.09 Si.upf
CELL_PARAMETERS angstrom
0.000 3.725 3.725
3.725 0.000 3.725
3.725 3.725 0.000
ATOMIC_POSITIONS angstrom
La 0.000 0.000 0.000
Gd 3.725 3.725 3.725
Cd 5.588 5.588 5.588
Si 1.863 1.863 1.863



[3]
! LaSmGdCd PBE optimized geometry; values from VASP
! ΔH_f (0 K): -0.05 eV/atom
&SYSTEM
  ibrav = 0, nat = 4, ntyp = 4
/
ATOMIC_SPECIES
La 138.91 La.upf
Sm 150.36 Sm.upf
Gd 157.25 Gd.upf
Cd 112.41 Cd.upf
CELL_PARAMETERS angstrom
0.000 3.952 3.952
3.952 0.000 3.952
3.952 3.952 0.000
ATOMIC_POSITIONS angstrom
La 0.000 0.000 0.000
Sm 3.952 3.952 3.952
Gd 5.929 5.929 5.929
Cd 1.976 1.976 1.976



[4]
! LaGdCdSn PBE optimized geometry; values from VASP
! ΔH_f (0 K): -0.54 eV/atom
&SYSTEM
  ibrav = 0, nat = 4, ntyp = 4
/
ATOMIC_SPECIES
La 138.91 La.upf
Gd 157.25 Gd.upf
Cd 112.41 Cd.upf
Sn 118.71 Sn.upf
CELL_PARAMETERS angstrom
0.000 3.858 3.858
3.858 0.000 3.858
3.858 3.858 0.000
ATOMIC_POSITIONS angstrom
La 0.000 0.000 0.000
Gd 3.858 3.858 3.858
Cd 5.787 5.787 5.787
Sn 1.929 1.929 1.929



[5]
! LaGdCdTc PBE optimized geometry; values from VASP
! ΔH_f (0 K): -0.01 eV/atom
&SYSTEM
  ibrav = 0, nat = 4, ntyp = 4
/
ATOMIC_SPECIES
La 138.91 La.upf
Gd 157.25 Gd.upf
Cd 112.41 Cd.upf
Tc 98.00 Tc.upf
CELL_PARAMETERS angstrom
0.000 3.668 3.668
3.668 0.000 3.668
3.668 3.668 0.000
ATOMIC_POSITIONS angstrom
La 0.000 0.000 0.000
Gd 3.668 3.668 3.668
Cd 1.834 1.834 1.834
Tc 5.503 5.503 5.503



[6]
! LaGdThCd PBE optimized geometry; values from VASP
! ΔH_f (0 K): 0.02 eV/atom
&SYSTEM
  ibrav = 0, nat = 4, ntyp = 4
/
ATOMIC_SPECIES
La 138.91 La.upf
Gd 157.25 Gd.upf
Th 232.04 Th.upf
Cd 112.41 Cd.upf
CELL_PARAMETERS angstrom
0.000 3.949 3.949
3.949 0.000 3.949
3.949 3.949 0.000
ATOMIC_POSITIONS angstrom
La 0.000 0.000 0.000
Gd 5.923 5.923 5.923
Th 3.949 3.949 3.949
Cd 1.974 1.974 1.974



[7]
! LaGdTmCd PBE optimized geometry; values from VASP
! ΔH_f (0 K): -0.06 eV/atom
&SYSTEM
  ibrav = 0, nat = 4, ntyp = 4
/
ATOMIC_SPECIES
La 138.91 La.upf
Gd 157.25 Gd.upf
Tm 168.93 Tm.upf
Cd 112.41 Cd.upf
CELL_PARAMETERS angstrom
0.000 3.916 3.916
3.916 0.000 3.916
3.916 3.916 0.000
ATOMIC_POSITIONS angstrom
La 0.000 0.000 0.000
Gd 3.916 3.916 3.916
Tm 5.875 5.875 5.875
Cd 1.958 1.958 1.958



[8]
! LaGdYCd PBE optimized geometry; values from VASP
! ΔH_f (0 K): -0.04 eV/atom
&SYSTEM
  ibrav = 0, nat = 4, ntyp = 4
/
ATOMIC_SPECIES
La 138.91 La.upf
Gd 157.25 Gd.upf
Y 88.91 Y.upf
Cd 112.41 Cd.upf
CELL_PARAMETERS angstrom
0.000 3.943 3.943
3.943 0.000 3.943
3.943 3.943 0.000
ATOMIC_POSITIONS angstrom
La 0.000 0.000 0.000
Gd 3.943 3.943 3.943
Y 1.972 1.972 1.972
Cd 5.915 5.915 5.915



Across the entries above, total moment takes the values 0.92, 7.23, 7.88, 7.27, 6.90, 8.23, 7.86, 8.05 μB/f.u., respectively.